[1]
DFT (PBE) results for DyNi4Rh2 after structural relaxation.

Summary:
Formation energy: -0.276 eV per atom
Calculated volume: 98.37 Å³/f.u.
Final energy: -6.34 eV/atom

```
data_DyNi4Rh2
_cell_length_a 6.220
_cell_length_b 6.220
_cell_length_c 5.085
_cell_angle_alpha 90.00
_cell_angle_beta 90.00
_cell_angle_gamma 90.00
_symmetry_space_group_name_H-M 'I 4/m m m'
_symmetry_Int_Tables_number 139
_symmetry_space_group_name_Hall '-I 4 2'
loop_
_atom_site_label
_atom_site_type_symbol
_atom_site_fract_x
_atom_site_fract_y
_atom_site_fract_z
Dy1 Dy 0.000 0.000 0.000
Ni1 Ni 0.194 0.194 0.500
Rh1 Rh 0.000 0.500 0.250
```



[2]
DFT (PBE) results for PtPbAu2 after structural relaxation.

Summary:
Formation energy: 0.102 eV per atom
Calculated volume: 85.15 Å³/f.u.
Final energy: -3.97 eV/atom

```
data_PtPbAu2
_cell_length_a 7.870
_cell_length_b 7.870
_cell_length_c 5.499
_cell_angle_alpha 90.00
_cell_angle_beta 90.00
_cell_angle_gamma 90.00
_symmetry_space_group_name_H-M 'I -4 2 d'
_symmetry_Int_Tables_number 122
_symmetry_space_group_name_Hall 'I -4 2bw'
loop_
_atom_site_label
_atom_site_type_symbol
_atom_site_fract_x
_atom_site_fract_y
_atom_site_fract_z
Pt1 Pt 0.000 0.000 0.000
Pb1 Pb 0.000 0.000 0.500
Au1 Au 0.228 0.250 0.125
```



[3]
DFT (PBE) results for YZn6Ag6 after structural relaxation.

Summary:
Formation energy: -0.157 eV per atom
Calculated volume: 223.64 Å³/f.u.
Final energy: -2.56 eV/atom

```
data_YZn6Ag6
_cell_length_a 5.205
_cell_length_b 9.247
_cell_length_c 9.293
_cell_angle_alpha 90.00
_cell_angle_beta 90.00
_cell_angle_gamma 90.00
_symmetry_space_group_name_H-M 'I m m m'
_symmetry_Int_Tables_number 71
_symmetry_space_group_name_Hall '-I 2 2'
loop_
_atom_site_label
_atom_site_type_symbol
_atom_site_fract_x
_atom_site_fract_y
_atom_site_fract_z
Y1 Y 0.000 0.000 0.000
Zn1 Zn 0.000 0.500 0.273
Zn2 Zn 0.250 0.250 0.250
Ag1 Ag 0.000 0.000 0.345
Ag2 Ag 0.000 0.304 0.500
Ag3 Ag 0.000 0.347 0.000
```



[4]
DFT (PBE) results for MnSb2Pd7 after structural relaxation.

Summary:
Calculated volume: 190.49 Å³/f.u.
Final energy: -5.45 eV/atom
Formation energy (no corrections): -0.07 eV/atom
Polymorph energy (0 for the lowest one): 0.274 eV/atom

```
data_MnSb2Pd7
_cell_length_a 7.801
_cell_length_b 15.974
_cell_length_c 3.057
_cell_angle_alpha 90.00
_cell_angle_beta 90.00
_cell_angle_gamma 90.00
_symmetry_space_group_name_H-M 'C m m m'
_symmetry_Int_Tables_number 65
_symmetry_space_group_name_Hall '-C 2 2'
loop_
_atom_site_label
_atom_site_type_symbol
_atom_site_fract_x
_atom_site_fract_y
_atom_site_fract_z
Mn1 Mn 0.000 0.000 0.000
Sb1 Sb 0.000 0.332 0.500
Pd1 Pd 0.000 0.199 0.000
Pd2 Pd 0.000 0.500 0.500
Pd3 Pd 0.198 0.091 0.500
```



[5]
DFT (PBE) results for CePm2In after structural relaxation.

Summary:
Formation energy: -0.092 eV per atom
Calculated volume: 117.36 Å³/f.u.
Final energy: -4.64 eV/atom
Polymorph energy (0 for the lowest one): 0.135 eV/atom

```
data_CePm2In
_cell_length_a 7.772
_cell_length_b 7.772
_cell_length_c 7.772
_cell_angle_alpha 90.00
_cell_angle_beta 90.00
_cell_angle_gamma 90.00
_symmetry_space_group_name_H-M 'F m -3 m'
_symmetry_Int_Tables_number 225
_symmetry_space_group_name_Hall '-F 4 2 3'
loop_
_atom_site_label
_atom_site_type_symbol
_atom_site_fract_x
_atom_site_fract_y
_atom_site_fract_z
Ce1 Ce 0.000 0.000 0.000
Pm1 Pm 0.250 0.250 0.250
In1 In 0.000 0.000 0.500
```



[6]
DFT (PBE) results for LiRe2Pt after structural relaxation.

Summary:
Formation energy: 0.498 eV per atom
Calculated volume: 58.55 Å³/f.u.
Final energy: -7.72 eV/atom
Polymorph energy (0 for the lowest one): 0.547 eV/atom

```
data_LiRe2Pt
_cell_length_a 4.685
_cell_length_b 4.685
_cell_length_c 2.668
_cell_angle_alpha 90.00
_cell_angle_beta 90.00
_cell_angle_gamma 90.00
_symmetry_space_group_name_H-M 'P 4/m m m'
_symmetry_Int_Tables_number 123
_symmetry_space_group_name_Hall '-P 4 2'
loop_
_atom_site_label
_atom_site_type_symbol
_atom_site_fract_x
_atom_site_fract_y
_atom_site_fract_z
Li1 Li 0.000 0.000 0.000
Re1 Re 0.000 0.500 0.500
Pt1 Pt 0.500 0.500 0.000
```